# 1
First-principles (PBE) data for a relaxed Zr2ReMo crystal, as listed in Alexandria via LeMat-Bulk.

abc: 2.929 4.523 5.543
angles: 90.00 98.08 90.00
Sites, in units of the cell vectors:
1 Zr 0.246 0.000 0.247
2 Zr 0.754 0.000 0.753
3 Re 0.500 0.500 0.000
4 Mo 0.000 0.500 0.500

## Properties
ΔE_f (eV/atom): 0.020
Crystal system: monoclinic
Total energy (eV/atom): -10.07

# 2
First-principles (PBE) data for a relaxed ZrRe2Mo crystal, as listed in Alexandria via LeMat-Bulk.

abc: 5.352 5.352 5.352
angles: 145.40 129.46 62.70
Sites, in units of the cell vectors:
1 Zr 0.000 0.000 0.000
2 Re 0.501 0.501 0.000
3 Re 0.744 0.244 0.500
4 Mo 0.256 0.756 0.500

## Properties
ΔE_f (eV/atom): -0.055
Excess energy over the best structure of this formula in the dataset (eV per atom): 0.0596
Crystal system: orthorhombic
Total energy (eV/atom): -11.12

# 3
First-principles (PBE) data for a relaxed Zr2ReMo crystal, as listed in Alexandria via LeMat-Bulk.

abc: 3.007 4.569 5.474
angles: 90.00 102.36 90.00
Sites, in units of the cell vectors:
1 Zr 0.000 0.000 0.000
2 Zr 0.281 0.500 0.731
3 Re 0.526 0.000 0.480
4 Mo 0.752 0.500 0.259

## Properties
ΔE_f (eV/atom): -0.006
Crystal system: monoclinic
Total energy (eV/atom): -10.10

# 4
First-principles (PBE) data for a relaxed ZrReMo2 crystal, as listed in Alexandria via LeMat-Bulk.

abc: 3.813 3.813 4.750
angles: 90.00 90.00 90.00
Sites, in units of the cell vectors:
1 Zr 0.000 0.000 0.000
2 Re 0.500 0.500 0.000
3 Mo 0.000 0.500 0.500
4 Mo 0.500 0.000 0.500

## Properties
ΔE_f (eV/atom): 0.229
Excess energy over the best structure of this formula in the dataset (eV per atom): 0.3238
Crystal system: tetragonal
Total energy (eV/atom): -10.44

# 5
First-principles (PBE) data for a relaxed ZrRe3Mo crystal, as listed in Alexandria via LeMat-Bulk.

abc: 4.693 4.693 4.693
angles: 90.00 90.00 90.00
Sites, in units of the cell vectors:
1 Zr 0.000 0.000 0.000
2 Re 0.000 0.000 0.500
3 Re 0.000 0.500 0.000
4 Re 0.500 0.000 0.000
5 Mo 0.500 0.500 0.500

## Properties
ΔE_f (eV/atom): 2.711
Excess energy over the best structure of this formula in the dataset (eV per atom): 1.1546
Crystal system: cubic
Total energy (eV/atom): -8.63

# 6
First-principles (PBE) data for a relaxed ZrRe2Mo crystal, as listed in Alexandria via LeMat-Bulk.

abc: 9.880 9.880 9.880
angles: 16.44 16.44 16.44
Sites, in units of the cell vectors:
1 Zr 0.000 0.000 0.000
2 Re 0.496 0.496 0.496
3 Re 0.756 0.756 0.756
4 Mo 0.242 0.242 0.242

## Properties
ΔE_f (eV/atom): 0.231
Excess energy over the best structure of this formula in the dataset (eV per atom): 0.3461
Crystal system: trigonal
Total energy (eV/atom): -10.84

# 7
First-principles (PBE) data for a relaxed Zr2ReMo crystal, as listed in Alexandria via LeMat-Bulk.

abc: 5.395 5.395 4.851
angles: 116.63 116.63 35.70
Sites, in units of the cell vectors:
1 Zr 0.249 0.249 0.249
2 Zr 0.751 0.751 0.751
3 Re 0.500 0.500 0.000
4 Mo 0.000 0.000 0.500

## Properties
ΔE_f (eV/atom): 0.016
Crystal system: monoclinic
Total energy (eV/atom): -10.08

# 8
First-principles (PBE) data for a relaxed Zr2ReMo crystal, as listed in Alexandria via LeMat-Bulk.

abc: 2.935 2.935 9.091
angles: 90.00 90.00 111.21
Sites, in units of the cell vectors:
1 Zr 0.000 0.000 0.246
2 Zr 0.000 0.000 0.754
3 Re 0.500 0.500 0.000
4 Mo 0.500 0.500 0.500

## Properties
ΔE_f (eV/atom): 0.039
Crystal system: orthorhombic
Total energy (eV/atom): -10.05